VASP calculation (PBE with a Hubbard U) on a relaxed CaTlWF6 crystal.

Unit cell a=6.0344 b=6.0344 c=11.3336 alpha=90.00 beta=90.00 gamma=120.00
Closest atoms and distances in Å follow each position.
Space group P-31c (No. 163)
Unique sites:
Ca 0.3333 0.6667 0.2500  6 F 2.30
Tl 0.0000 0.0000 0.0000  6 F 2.82
W 0.3333 0.6667 0.7500  6 F 2.13
F 0.0202 0.3799 0.6518  1 W 2.13, 1 Ca 2.30

Output
energy	-97.094	eV/cell
D(E_F)	0.0000	states/eV per atom